Below is crystalline Tb6Pm2NdDy3 at its relaxed geometry, with properties calculated at the PBE-GGA level.

Structure (POSCAR):
```
Tb6Pm2NdDy3
1.0
3.103 -5.371 0.000
3.103 5.371 0.000
-2.059 0.000 11.681
Tb Pm Nd Dy
6 2 1 3
Cartesian
1.033 1.791 2.883
0.008 0.000 8.798
1.033 -1.791 2.883
3.113 1.791 8.797
4.138 0.000 2.883
3.113 -1.791 8.797
2.073 3.582 5.840
2.073 -3.582 5.840
2.073 0.000 5.840
0.000 0.000 0.000
3.103 1.791 0.000
3.103 -1.791 0.000
```

Output
* DOS(E_F): 15.330 states/eV/cell
* total moment: 0.00 Bohr magnetons per cell
* total energy: -0.171 hartree per atom
* DFT formation energy: 0.0149 eV per atom